Model 1:
A plane-wave DFT calculation with PBE-GGA was carried out for a geometry-optimized Fe2Co15Ni2 structure.

Results
For the density, the calculation gives 8.20 g/cm³. Its total magnetization is 1.66 μB/atom. For the calculated volume, the calculation gives 225.3 Å³/cell.

a b c (Å): 6.153 6.153 6.153
angles (deg): 81.12 81.12 81.12
Fractional positions:
Fe1 0.901 0.901 0.901
Fe2 0.099 0.099 0.099
Co1 0.000 0.500 0.000
Co2 0.000 0.000 0.500
Co3 0.500 0.000 0.000
Co4 0.302 0.000 0.698
Co5 0.698 0.302 0.000
Co6 0.000 0.698 0.302
Co7 0.302 0.698 0.000
Co8 0.000 0.302 0.698
Co9 0.698 0.000 0.302
Co10 0.356 0.844 0.356
Co11 0.356 0.356 0.844
Co12 0.844 0.356 0.356
Co13 0.644 0.156 0.644
Co14 0.644 0.644 0.156
Co15 0.156 0.644 0.644
Ni1 0.692 0.692 0.692
Ni2 0.308 0.308 0.308

Model 2:
A plane-wave DFT calculation with PBE-GGA was carried out for a geometry-optimized Fe2Co15Ni2 structure.

Results
For the density, the calculation gives 8.24 g/cm³. Its total magnetization is 1.68 μB/atom. For the calculated volume, the calculation gives 224.3 Å³/cell.

a b c (Å): 6.138 6.138 6.138
angles (deg): 81.48 81.48 81.48
Fractional positions:
Fe1 0.318 0.318 0.318
Fe2 0.682 0.682 0.682
Co1 0.500 0.000 0.000
Co2 0.000 0.000 0.500
Co3 0.000 0.500 0.000
Co4 0.000 0.698 0.302
Co5 0.698 0.302 0.000
Co6 0.302 0.000 0.698
Co7 0.302 0.698 0.000
Co8 0.698 0.000 0.302
Co9 0.000 0.302 0.698
Co10 0.156 0.647 0.647
Co11 0.647 0.647 0.156
Co12 0.647 0.156 0.647
Co13 0.844 0.353 0.353
Co14 0.353 0.353 0.844
Co15 0.353 0.844 0.353
Ni1 0.100 0.100 0.100
Ni2 0.900 0.900 0.900

Least stable: model 1

Model 1:
A plane-wave DFT calculation with PBE-GGA was carried out for a geometry-optimized FeCo4Ni7 structure.

Results
For the density, the calculation gives 8.86 g/cm³. Its total magnetization is 1.16 μB/atom. For the calculated volume, the calculation gives 131.6 Å³/cell.

a b c (Å): 5.026 6.607 6.628
angles (deg): 68.61 79.20 40.50
Fractional positions:
Fe1 0.000 0.000 0.000
Co1 0.507 0.661 0.335
Co2 0.493 0.339 0.665
Co3 0.747 0.836 0.665
Co4 0.253 0.164 0.335
Ni1 0.749 0.503 0.000
Ni2 0.251 0.497 0.000
Ni3 0.001 0.332 0.667
Ni4 0.999 0.668 0.333
Ni5 0.247 0.836 0.665
Ni6 0.500 0.000 0.000
Ni7 0.753 0.164 0.335

Model 2:
A plane-wave DFT calculation with PBE-GGA was carried out for a geometry-optimized FeCo4Ni7 structure.

Results
For the density, the calculation gives 8.10 g/cm³. Its total magnetization is 1.21 μB/atom. For the calculated volume, the calculation gives 143.9 Å³/cell.

a b c (Å): 4.272 7.912 4.911
angles (deg): 83.25 64.22 74.34
Fractional positions:
Fe1 0.000 0.000 0.000
Co1 0.586 0.227 0.600
Co2 0.414 0.773 0.400
Co3 0.717 0.691 0.875
Co4 0.283 0.309 0.125
Ni1 0.791 0.916 0.501
Ni2 0.209 0.084 0.499
Ni3 0.039 0.620 0.302
Ni4 0.961 0.380 0.698
Ni5 0.346 0.544 0.763
Ni6 0.500 0.000 0.000
Ni7 0.654 0.456 0.237

Least stable: model 2

Model 1:
A plane-wave DFT calculation with PBE-GGA was carried out for a geometry-optimized Fe2CoNi4 structure.

Results
For the density, the calculation gives 7.88 g/cm³. Its total magnetization is 1.39 μB/atom. For the calculated volume, the calculation gives 85.4 Å³/cell.

a b c (Å): 4.934 4.934 4.953
angles (deg): 120.01 120.01 89.77
Fractional positions:
Ni1 0.786 0.786 0.072
Ni2 0.286 0.286 0.071
Ni3 0.786 0.286 0.071
Ni4 0.286 0.786 0.071
Co1 0.786 0.786 0.571
Fe1 0.286 0.785 0.571
Fe2 0.785 0.286 0.571

Model 2:
A plane-wave DFT calculation with PBE-GGA was carried out for a geometry-optimized Fe2CoNi4 structure.

Results
For the density, the calculation gives 6.46 g/cm³. Its total magnetization is 1.54 μB/atom. For the calculated volume, the calculation gives 104.1 Å³/cell.

a b c (Å): 4.234 4.234 6.534
angles (deg): 71.09 71.09 90.00
Fractional positions:
Ni1 0.804 0.804 0.393
Ni2 0.196 0.196 0.607
Ni3 0.000 0.500 0.000
Ni4 0.500 0.000 0.000
Co1 0.000 0.000 0.000
Fe1 0.610 0.610 0.780
Fe2 0.390 0.390 0.220

Least stable: model 2

Model 1:
A plane-wave DFT calculation with PBE-GGA was carried out for a geometry-optimized Fe6CoNi8 structure.

Results
For the density, the calculation gives 7.58 g/cm³. Its total magnetization is 1.61 μB/atom. For the calculated volume, the calculation gives 189.1 Å³/cell.

a b c (Å): 5.878 5.878 7.175
angles (deg): 65.82 65.82 60.00
Fractional positions:
Fe1 0.827 0.676 0.193
Fe2 0.696 0.173 0.807
Fe3 0.324 0.696 0.807
Fe4 0.676 0.304 0.193
Fe5 0.304 0.827 0.193
Fe6 0.173 0.324 0.807
Co1 0.000 0.000 0.000
Ni1 0.769 0.582 0.587
Ni2 0.938 0.231 0.413
Ni3 0.418 0.938 0.413
Ni4 0.302 0.302 0.095
Ni5 0.698 0.698 0.905
Ni6 0.582 0.062 0.587
Ni7 0.062 0.769 0.587
Ni8 0.231 0.418 0.413

Model 2:
A plane-wave DFT calculation with PBE-GGA was carried out for a geometry-optimized Fe6CoNi8 structure.

Results
For the density, the calculation gives 7.91 g/cm³. Its total magnetization is 1.50 μB/atom. For the calculated volume, the calculation gives 181.3 Å³/cell.

a b c (Å): 2.493 9.163 9.163
angles (deg): 120.00 90.00 90.00
Fractional positions:
Fe1 0.734 0.531 0.626
Fe2 0.734 0.374 0.905
Fe3 0.734 0.095 0.469
Fe4 0.266 0.469 0.374
Fe5 0.266 0.626 0.095
Fe6 0.266 0.905 0.531
Co1 0.500 0.000 0.000
Ni1 0.778 0.718 0.924
Ni2 0.778 0.076 0.794
Ni3 0.778 0.206 0.282
Ni4 0.222 0.282 0.076
Ni5 0.222 0.924 0.206
Ni6 0.222 0.794 0.718
Ni7 0.767 0.667 0.333
Ni8 0.233 0.333 0.667

Least stable: model 1

Model 1:
A plane-wave DFT calculation with PBE-GGA was carried out for a geometry-optimized FeCo2Ni5 structure.

Results
For the density, the calculation gives 8.81 g/cm³. Its total magnetization is 1.20 μB/atom. For the calculated volume, the calculation gives 176.2 Å³/cell.

a b c (Å): 3.511 5.006 10.024
angles (deg): 90.00 90.00 90.00
Fractional positions:
Fe1 0.000 0.000 0.500
Fe2 0.000 0.500 0.000
Co1 0.500 0.246 0.625
Co2 0.500 0.754 0.375
Co3 0.500 0.254 0.125
Co4 0.500 0.746 0.875
Ni1 0.000 0.000 0.000
Ni2 0.000 0.500 0.500
Ni3 0.000 0.494 0.751
Ni4 0.000 0.506 0.249
Ni5 0.000 0.006 0.251
Ni6 0.000 0.994 0.749
Ni7 0.500 0.245 0.875
Ni8 0.500 0.755 0.125
Ni9 0.500 0.255 0.375
Ni10 0.500 0.745 0.625

Model 2:
A plane-wave DFT calculation with PBE-GGA was carried out for a geometry-optimized FeCo2Ni5 structure.

Results
For the density, the calculation gives 8.41 g/cm³. Its total magnetization is 1.19 μB/atom. For the calculated volume, the calculation gives 184.5 Å³/cell.

a b c (Å): 6.085 6.085 6.584
angles (deg): 117.52 117.52 90.00
Fractional positions:
Fe1 0.750 0.750 0.500
Fe2 0.250 0.250 0.500
Co1 0.139 0.361 0.000
Co2 0.639 0.139 0.000
Co3 0.361 0.861 0.000
Co4 0.861 0.639 0.000
Ni1 0.483 0.685 0.668
Ni2 0.815 0.017 0.332
Ni3 0.000 0.000 0.000
Ni4 0.500 0.500 0.000
Ni5 0.185 0.983 0.668
Ni6 0.685 0.185 0.668
Ni7 0.983 0.483 0.668
Ni8 0.315 0.815 0.332
Ni9 0.017 0.517 0.332
Ni10 0.517 0.315 0.332

Least stable: model 2

Model 1:
A plane-wave DFT calculation with PBE-GGA was carried out for a geometry-optimized UFeCoNi structure.

Results
For the density, the calculation gives 12.60 g/cm³. Its total magnetization is 0.05 μB/atom. For the calculated volume, the calculation gives 54.2 Å³/cell.

a b c (Å): 4.249 4.249 4.249
angles (deg): 60.00 60.00 60.00
Fractional positions:
Ni1 0.500 0.500 0.500
U1 0.000 0.000 0.000
Fe1 0.750 0.750 0.750
Co1 0.250 0.250 0.250

Model 2:
A plane-wave DFT calculation with PBE-GGA was carried out for a geometry-optimized UFeCoNi structure.

Results
For the density, the calculation gives 12.79 g/cm³. Its total magnetization is 0.15 μB/atom. For the calculated volume, the calculation gives 53.4 Å³/cell.

a b c (Å): 3.611 3.915 3.778
angles (deg): 90.00 90.00 90.00
Fractional positions:
U1 0.500 0.500 0.000
Fe1 0.000 0.500 0.500
Co1 0.000 0.000 0.000
Ni1 0.500 0.000 0.500

Least stable: model 1

Model 1:
A plane-wave DFT calculation with PBE-GGA was carried out for a geometry-optimized VFeCoNi structure.

Results
For the density, the calculation gives 8.26 g/cm³. Its total magnetization is 0.44 μB/atom. For the calculated volume, the calculation gives 45.1 Å³/cell.

a b c (Å): 3.523 3.581 3.576
angles (deg): 90.00 90.00 90.00
Fractional positions:
V1 0.000 0.500 0.500
Fe1 0.500 0.000 0.500
Co1 0.500 0.500 0.000
Ni1 0.000 0.000 0.000

Model 2:
A plane-wave DFT calculation with PBE-GGA was carried out for a geometry-optimized VFeCoNi structure.

Results
For the density, the calculation gives 8.20 g/cm³. Its total magnetization is 0.46 μB/atom. For the calculated volume, the calculation gives 45.4 Å³/cell.

a b c (Å): 4.006 4.006 4.006
angles (deg): 60.00 60.00 60.00
Fractional positions:
Ni1 0.500 0.500 0.500
Co1 0.750 0.750 0.750
Fe1 0.250 0.250 0.250
V1 0.000 0.000 0.000

Least stable: model 2

Model 1:
A plane-wave DFT calculation with PBE-GGA was carried out for a geometry-optimized NpFe2Co structure.

Results
For the density, the calculation gives 12.08 g/cm³. Its total magnetization is 0.89 μB/atom. For the calculated volume, the calculation gives 56.0 Å³/cell.

a b c (Å): 2.875 2.875 6.780
angles (deg): 90.00 90.00 90.00
Fractional positions:
Np1 0.500 0.500 0.500
Co1 0.500 0.500 0.000
Fe1 0.000 0.000 0.794
Fe2 0.000 0.000 0.206

Model 2:
A plane-wave DFT calculation with PBE-GGA was carried out for a geometry-optimized NpFe2Co structure.

Results
For the density, the calculation gives 11.96 g/cm³. Its total magnetization is 0.30 μB/atom. For the calculated volume, the calculation gives 169.8 Å³/cell.

a b c (Å): 4.853 4.853 8.784
angles (deg): 73.96 73.96 60.00
Fractional positions:
Np1 0.856 0.856 0.432
Np2 0.144 0.144 0.568
Np3 0.000 0.000 0.000
Fe1 0.419 0.419 0.246
Fe2 0.917 0.419 0.246
Fe3 0.419 0.917 0.246
Fe4 0.581 0.581 0.754
Fe5 0.581 0.083 0.754
Fe6 0.083 0.581 0.754
Co1 0.667 0.667 0.998
Co2 0.333 0.333 0.002
Co3 0.500 0.500 0.500

Model 3:
A plane-wave DFT calculation with PBE-GGA was carried out for a geometry-optimized NpFe2Co structure.

Results
For the density, the calculation gives 12.55 g/cm³. Its total magnetization is 0.38 μB/atom. For the calculated volume, the calculation gives 53.9 Å³/cell.

a b c (Å): 3.768 3.783 3.783
angles (deg): 90.00 90.00 90.00
Fractional positions:
Np1 0.500 0.500 0.500
Co1 0.500 0.000 0.000
Fe1 0.000 0.000 0.500
Fe2 0.000 0.500 0.000

Least stable: model 1